Entry 1:
NbRe2HPt: optimized geometry, PBE.

abc: 3.982 3.982 4.080
angles: 90.00 90.00 90.00
Atoms (fractional coordinates):
Nb1 0.000 0.000 0.000
Re1 0.000 0.500 0.500
Re2 0.500 0.000 0.500
H1 0.000 0.000 0.500
Pt1 0.500 0.500 0.000

Space group ... P4/mmm, No. 123
E ... -9.017 eV per atom

Entry 2:
Sb2TeAuSe: optimized geometry, PBE.

abc: 5.410 5.410 5.363
angles: 90.00 90.00 90.00
Atoms (fractional coordinates):
Sb1 0.000 0.500 0.000
Sb2 0.500 0.000 0.000
Te1 0.000 0.000 0.500
Au1 0.000 0.000 0.000
Se1 0.500 0.500 0.500

Space group ... P4/mmm, No. 123
Formation energy (no corrections) ... 0.68 eV per atom
E ... -2.954 eV per atom

Entry 3:
NdFe3P3: optimized geometry, PBE.

abc: 7.643 7.643 7.643
angles: 49.08 49.08 49.08
Atoms (fractional coordinates):
Nd1 0.167 0.167 0.167
Nd2 0.833 0.833 0.833
Fe1 0.019 0.383 0.721
Fe2 0.279 0.981 0.617
Fe3 0.383 0.721 0.019
Fe4 0.617 0.279 0.981
Fe5 0.721 0.019 0.383
Fe6 0.981 0.617 0.279
P1 0.097 0.714 0.395
P2 0.286 0.605 0.903
P3 0.395 0.097 0.714
P4 0.605 0.903 0.286
P5 0.714 0.395 0.097
P6 0.903 0.286 0.605

Space group ... R-3, No. 148
E ... -7.244 eV per atom
Energy relative to the elements ... -618 meV per atom

Entry 4:
TbPd2Pt2: optimized geometry, PBE.

abc: 5.432 5.432 5.432
angles: 125.99 125.99 79.91
Atoms (fractional coordinates):
Tb1 0.000 0.000 0.000
Pd1 0.349 0.349 0.000
Pd2 0.651 0.651 0.000
Pt1 0.250 0.750 0.500
Pt2 0.750 0.250 0.500

Space group ... I4/mmm, No. 139
E ... -5.691 eV per atom
Energy relative to the elements ... -271 meV per atom

Entry 5:
ScTlP3: optimized geometry, PBE.

abc: 5.014 5.014 5.014
angles: 90.00 90.00 90.00
Atoms (fractional coordinates):
Sc1 0.000 0.000 0.000
Tl1 0.500 0.500 0.500
P1 0.000 0.500 0.500
P2 0.500 0.000 0.500
P3 0.500 0.500 0.000

Space group ... Pm-3m, No. 221
E ... -3.966 eV per atom
Energy relative to the elements ... 1019 meV per atom

Entry 6:
Sc2SiAu: optimized geometry, PBE.

abc: 3.805 3.805 5.682
angles: 90.00 90.00 90.00
Atoms (fractional coordinates):
Sc1 0.000 0.000 0.000
Sc2 0.500 0.500 0.365
Si1 0.000 0.000 0.471
Au1 0.500 0.500 0.846

Space group ... P4mm, No. 99
Formation energy (no corrections) ... -0.48 eV per atom
E ... -5.819 eV per atom

What did we get for DOS(E_F)? Answer: 0.77 1.28 1.02 0.95 0.94 1.03 states/eV/atom, in the order shown.